Entry 1:
A crystal of PRuCl3 relaxed with PBEsol, computed with meta-GGA SCAN.

The calculation puts the energy above the most stable polymorph in this dataset at 0 meV/atom. The value obtained for the raw formation energy is 368.2 meV/atom.

The structure belongs to space group Pm-3m (No. 221); the cell edges are 4.687, 4.687 and 4.687 Å and the angles 90.00°, 90.00° and 90.00°. The inequivalent atoms are P at (0.000, 0.000, 0.000), Ru at (0.500, 0.500, 0.500) and Cl at (0.000, 0.500, 0.500).

=====

Entry 2:
A crystal of InTcTe2 relaxed with PBEsol, computed with meta-GGA SCAN.

The value obtained for the raw formation energy is 628.6 meV/atom.

The structure belongs to space group R-3m (No. 166, hexagonal axes); the cell edges are 3.1169, 3.1169 and 33.7976 Å and the angles 90.00°, 90.00° and 120.00°. The inequivalent atoms are In at (0.0000, 0.0000, 0.0000), Tc at (0.0000, 0.0000, 0.5000) and Te at (0.0000, 0.0000, 0.4240).

=====

Entry 3:
A crystal of TcAgP relaxed with PBEsol, computed with meta-GGA SCAN.

The calculation puts the energy above the most stable polymorph in this dataset at 0 meV/atom. As for the calculated formation energy: 0.0970 eV per atom.

The structure belongs to space group P3m1 (No. 156); the cell edges are 3.9450, 3.9450 and 3.3577 Å and the angles 90.00°, 90.00° and 120.00°. The inequivalent atoms are Tc at (0.0000, 0.0000, 0.0000), Ag at (0.6667, 0.3333, 0.4938) and P at (0.3333, 0.6667, 0.9574).

=====

Entry 4:
A crystal of TiZnS2 relaxed with PBEsol, computed with meta-GGA SCAN.

The calculation puts the energy above the most stable polymorph in this dataset at 0 meV/atom. The value obtained for the raw formation energy is -949.9 meV/atom.

The structure belongs to space group I-42d (No. 122); the cell edges are 5.565, 5.565 and 10.340 Å and the angles 90.00°, 90.00° and 90.00°. The inequivalent atoms are Ti at (0.000, 0.000, 0.000), Zn at (0.000, 0.000, 0.500) and S at (0.239, 0.250, 0.625).

=====

| no. | electronic total energy (eV/atom) | DOS at the Fermi energy (states/eV/atom) |
| --- | --- | --- |
| 1 | -13.46 | 0.80 |
| 2 | -35.11 | 0.79 |
| 3 | -25.51 | 0.64 |
| 4 | -13.15 | 0.25 |